This record from Alexandria describes a relaxed structure of DyZn2Sn. The functional is GGA-PBE.

Output
**N(E_F)**: 0.35 states/eV per atom
**E_form**: -0.392 eV/atom
**E_tot**: -12.7 eV for the cell shown
**Magnetization**: 0.000 μB/atom

Cell lengths 4.3470, 4.3470, 4.4036 Å; angles 90.00, 90.00, 90.00 degrees
With the nearest neighbours (Å) after each atom.
Space group P4/mmm (No. 123)
One atom of each set of equivalent atoms:
Dy: 0.0000 0.0000 0.0000 x1  4 Sn 3.07, 8 Zn 3.09
Zn: 0.0000 0.5000 0.5000 x2  4 Zn 3.07, 4 Sn 3.09, 4 Dy 3.09
Sn: 0.5000 0.5000 0.0000 x1  4 Dy 3.07, 8 Zn 3.09